The following is a PBE calculation of crystalline LiLaSc2 at its relaxed geometry, from the Alexandria database.

Results
D(E_F) = 4.803 states/eV per cell
Energy relative to the lowest polymorph listed for this composition = 63.6 meV per atom
SG = R-3m (166)
VASP energy = -18.8 eV for the cell shown
Density = 3.71 Mg/m³
Energy of formation from the pure elements = 0.1769 eV/atom

Cell lengths 10.906, 10.906, 10.906 Å; angles 17.79, 17.79, 17.79 degrees
Atoms (fractional coordinates):
La  0.250  0.250  0.250
Li  0.750  0.750  0.750
Sc  0.003  0.003  0.003
Sc  0.497  0.497  0.497


The following is a PBE calculation of crystalline LiLaSc2 at its relaxed geometry, from the Alexandria database.

Results
D(E_F) = 6.128 states/eV per cell
Energy relative to the lowest polymorph listed for this composition = 0.9 meV per atom
SG = Immm (71)
VASP energy = -19.0 eV for the cell shown
Density = 3.80 Mg/m³
Energy of formation from the pure elements = 0.1142 eV/atom

Cell lengths 6.268, 6.268, 5.381 Å; angles 64.56, 64.56, 33.06 degrees
Atoms (fractional coordinates):
La  0.750  0.750  0.750
Li  0.250  0.250  0.250
Sc  0.976  0.976  0.024
Sc  0.524  0.524  0.476


The following is a PBE calculation of crystalline LiLaSc at its relaxed geometry, from the Alexandria database.

Results
D(E_F) = 16.579 states/eV per cell
Energy relative to the lowest polymorph listed for this composition = 587.4 meV per atom
SG = F-43m (216)
VASP energy = -44.4 eV for the cell shown
Density = 3.51 Mg/m³
Energy of formation from the pure elements = 0.6914 eV/atom

Cell lengths 7.120, 7.120, 7.120 Å; angles 90.00, 90.00, 90.00 degrees
Atoms (fractional coordinates):
Sc  0.250  0.250  0.250
Sc  0.750  0.750  0.250
Sc  0.750  0.250  0.750
Sc  0.250  0.750  0.750
Li  0.500  0.000  0.000
Li  0.000  0.500  0.000
Li  0.000  0.000  0.500
Li  0.500  0.500  0.500
La  0.000  0.000  0.000
La  0.500  0.500  0.000
La  0.500  0.000  0.500
La  0.000  0.500  0.500


Q: Which value of energy relative to the lowest polymorph listed for this composition does entry 1 give?
A: 63.6 meV per atom